## CuIrF3 (PBE)

Data for an optimized crystal structure of CuIrF3.

Cell lengths 4.0365, 4.0365, 4.0365 Å; angles 90.00, 90.00, 90.00 degrees
Last column: magnetic moment on the atom in μB.
Fractional positions:
F (0.0000, 0.0000, 0.5000)  0.06
F (0.5000, 0.0000, 0.0000)  0.12
F (0.0000, 0.5000, 0.0000)  0.12
Ir (0.5000, 0.5000, 0.5000)  2.21
Cu (0.0000, 0.0000, 0.0000)  0.60

Output
- Calculated volume: 13.2 A^3/atom
- E_form (uncorrected): -0.977 eV per formula unit
- Energy above the most stable polymorph in this dataset: 166.3 meV/atom

***

## CuIrF5 (PBE)

Data for an optimized crystal structure of CuIrF5.

Cell lengths 5.4586, 5.4586, 8.3649 Å; angles 110.31, 110.31, 99.24 degrees
Last column: magnetic moment on the atom in μB.
Fractional positions:
F (0.1778, 0.6380, 0.4597)  0.05
F (0.3394, 0.1606, 0.2500)  0.01
F (0.6606, 0.8394, 0.7500)  0.01
F (0.8620, 0.3222, 0.0403)  0.05
F (0.6463, 0.7290, 0.3913)  0.05
F (0.7710, 0.8537, 0.1087)  0.05
F (0.2290, 0.1463, 0.8913)  0.05
F (0.3537, 0.2710, 0.6087)  0.05
F (0.1380, 0.6778, 0.9597)  0.05
F (0.8222, 0.3620, 0.5403)  0.05
Ir (0.0000, 0.0000, 0.0000)  0.35
Ir (0.5000, 0.5000, 0.5000)  0.35
Cu (0.1314, 0.3686, 0.7500)  0.46
Cu (0.8686, 0.6314, 0.2500)  0.46

Output
- Calculated volume: 14.8 A^3/atom
- E_form (uncorrected): -9.564 eV per formula unit

***

## CuIr2F (PBE)

Data for an optimized crystal structure of CuIr2F.

Cell lengths 6.8445, 6.8445, 5.4005 Å; angles 50.68, 50.68, 90.00 degrees
Fractional positions:
Ir (0.5807, 0.1250, 0.2500)
Ir (0.1693, 0.6250, 0.2500)
Ir (0.3750, 0.4193, 0.7500)
Ir (0.8750, 0.8307, 0.7500)
Cu (0.0000, 0.0000, 0.0000)
Cu (0.7500, 0.2500, 0.5000)
F (0.2500, 0.7500, 0.5000)
F (0.5000, 0.5000, 0.0000)

Output
- Calculated volume: 14.0 A^3/atom
- E_form (uncorrected): 2.651 eV per formula unit
- Energy above the most stable polymorph in this dataset: 82.9 meV/atom

***

## CuIr2F (PBE)

Data for an optimized crystal structure of CuIr2F.

Cell lengths 4.1971, 4.1971, 4.1971 Å; angles 60.00, 60.00, 60.00 degrees
Last column: magnetic moment on the atom in μB.
Fractional positions:
Cu (0.5000, 0.5000, 0.5000)  0.34
Ir (0.2500, 0.2500, 0.2500)  1.20
Ir (0.7500, 0.7500, 0.7500)  1.20
F (0.0000, 0.0000, 0.0000)  0.17

Output
- Calculated volume: 13.1 A^3/atom
- E_form (uncorrected): 2.319 eV per formula unit
- Energy above the most stable polymorph in this dataset: 0.0 meV/atom

***

## Cu3IrF (PBE)

Data for an optimized crystal structure of Cu3IrF.

Cell lengths 4.6603, 4.6603, 4.6603 Å; angles 90.00, 90.00, 90.00 degrees
Fractional positions:
Cu (0.5000, 0.0000, 0.0000)
Cu (0.0000, 0.0000, 0.5000)
Cu (0.0000, 0.5000, 0.0000)
Ir (0.0000, 0.0000, 0.0000)
F (0.5000, 0.5000, 0.5000)

Output
- Calculated volume: 20.2 A^3/atom
- E_form (uncorrected): 4.603 eV per formula unit
- Energy above the most stable polymorph in this dataset: 546.1 meV/atom

***

## Cu2IrF (PBE)

Data for an optimized crystal structure of Cu2IrF.

Cell lengths 6.3693, 6.3693, 5.1576 Å; angles 51.87, 51.87, 90.00 degrees
Fractional positions:
F (0.2500, 0.7500, 0.5000)
F (0.5000, 0.5000, 0.0000)
Cu (0.8750, 0.8319, 0.7500)
Cu (0.5819, 0.1250, 0.2500)
Cu (0.3750, 0.4181, 0.7500)
Cu (0.1681, 0.6250, 0.2500)
Ir (0.0000, 0.0000, 0.0000)
Ir (0.7500, 0.2500, 0.5000)

Output
- Calculated volume: 12.7 A^3/atom
- E_form (uncorrected): 0.855 eV per formula unit
- Energy above the most stable polymorph in this dataset: 0.0 meV/atom

***

## K2CuIrF6 (PBE)

Data for an optimized crystal structure of K2CuIrF6.

Cell lengths 5.9330, 5.9366, 8.4341 Å; angles 90.00, 90.00, 90.00 degrees
Last column: magnetic moment on the atom in μB.
Fractional positions:
K (0.0000, 0.2500, 0.7500)  0.00
K (0.0000, 0.2500, 0.2500)  0.00
K (0.5000, 0.7500, 0.2500)  0.00
K (0.5000, 0.7500, 0.7500)  0.00
F (0.7468, 0.4966, 0.5000)  0.00
F (0.5000, 0.2497, 0.7455)  0.00
F (0.0000, 0.7503, 0.7545)  0.00
F (0.2534, 0.0027, 0.5000)  0.00
F (0.7466, 0.0027, 0.5000)  0.00
F (0.2468, 0.5034, 0.0000)  0.00
F (0.2466, 0.9973, 0.0000)  0.00
F (0.7534, 0.9973, 0.0000)  0.00
F (0.5000, 0.2497, 0.2545)  0.00
F (0.7532, 0.5034, 0.0000)  0.00
F (0.0000, 0.7503, 0.2455)  0.00
F (0.2532, 0.4966, 0.5000)  0.00
Cu (0.0000, 0.7498, 0.5000)  0.07
Cu (0.5000, 0.2502, 0.0000)  0.07
Ir (0.0000, 0.7503, 0.0000)  -0.01
Ir (0.5000, 0.2497, 0.5000)  -0.01

Output
- Calculated volume: 14.9 A^3/atom
- E_form (uncorrected): -18.959 eV per formula unit